(1)
The following is a DFT calculation (PBE) of an optimized crystal structure of ThZn4Tc.

Calculated values
* V: 17.1 Å³ per atom
* formation energy from the elements: -143 meV/atom

The structure in CIF format:
```
data_ThZn4Tc
_chemical_formula_sum 'Th4 Zn16 Tc4'
_cell_length_a 7.4333
_cell_length_b 7.4333
_cell_length_c 7.4333
_cell_angle_alpha 90.00
_cell_angle_beta 90.00
_cell_angle_gamma 90.00
_symmetry_space_group_name_H-M 'F -4 3 m'
_symmetry_Int_Tables_number 216
_symmetry_space_group_name_Hall 'F -4 2 3'
loop_
_atom_site_label
_atom_site_type_symbol
_atom_site_fract_x
_atom_site_fract_y
_atom_site_fract_z
Th1 Th 0.0000 0.0000 0.0000
Zn1 Zn 0.1230 0.1230 0.3770
Tc1 Tc 0.2500 0.2500 0.7500
```

---

(2)
The following is a DFT calculation (PBE) of an optimized crystal structure of Th3ZnTc.

Calculated values
* V: 26.2 Å³ per atom
* formation energy from the elements: -148 meV/atom

The structure in CIF format:
```
data_Th3ZnTc
_chemical_formula_sum 'Th12 Zn4 Tc4'
_cell_length_a 6.4268
_cell_length_b 10.1591
_cell_length_c 8.5913
_cell_angle_alpha 90.00
_cell_angle_beta 111.06
_cell_angle_gamma 90.00
_symmetry_space_group_name_H-M 'C 1 2/m 1'
_symmetry_Int_Tables_number 12
loop_
_symmetry_equiv_pos_as_xyz
'x,y,z'
'-x,-y,-z'
'-x,y,-z'
'x,-y,z'
'x+1/2,y+1/2,z'
'-x+1/2,-y+1/2,-z'
'-x+1/2,y+1/2,-z'
'x+1/2,-y+1/2,z'
loop_
_atom_site_label
_atom_site_type_symbol
_atom_site_fract_x
_atom_site_fract_y
_atom_site_fract_z
Th1 Th 0.1151 0.1763 0.2135
Th2 Th 0.1957 0.5000 0.3868
Zn1 Zn 0.1954 0.5000 0.0052
Tc1 Tc 0.0000 0.2508 0.5000
```

---

(3)
The following is a DFT calculation (PBE) of an optimized crystal structure of ThZnTc.

Calculated values
* V: 19.4 Å³ per atom
* formation energy from the elements: -191 meV/atom

The structure in CIF format:
```
data_ThZnTc
_chemical_formula_sum 'Th4 Zn4 Tc4'
_cell_length_a 5.0696
_cell_length_b 5.6065
_cell_length_c 8.2108
_cell_angle_alpha 90.00
_cell_angle_beta 90.00
_cell_angle_gamma 90.00
_symmetry_space_group_name_H-M 'I m m a'
_symmetry_Int_Tables_number 74
_symmetry_space_group_name_Hall '-I 2b 2'
loop_
_atom_site_label
_atom_site_type_symbol
_atom_site_fract_x
_atom_site_fract_y
_atom_site_fract_z
Th1 Th 0.0000 0.2500 0.1282
Zn1 Zn 0.2500 0.2500 0.7500
Tc1 Tc 0.0000 0.0000 0.5000
```

---

Which value of V does entry 3 give? 19.4 Å³ per atom

---

Look up the formation energy from the elements of the first one. -143 meV/atom